1.
A plane-wave DFT calculation with PBE was carried out for a geometry-optimized TlTeIrI2 structure.

Lattice parameters (Å, degrees): 5.950 5.950 5.863 90.00 90.00 90.00
Atoms (fractional coordinates):
Tl 0.000 0.000 0.000
Te 0.000 0.000 0.500
Ir 0.500 0.500 0.500
I 0.000 0.500 0.000
I 0.500 0.000 0.000

Space-group type: No. 123
DOS(E_F): 5.8 states/eV per cell
Formation energy (no corrections): 1397 meV per atom
Excess energy over the best structure of this formula in the dataset: 1318 meV per atom

---

2.
A plane-wave DFT calculation with PBE was carried out for a geometry-optimized TlTe2IrI structure.

Lattice parameters (Å, degrees): 5.742 5.742 5.891 90.00 90.00 90.00
Atoms (fractional coordinates):
Tl 0.000 0.000 0.000
Te 0.000 0.500 0.000
Te 0.500 0.000 0.000
Ir 0.500 0.500 0.500
I 0.000 0.000 0.500

Space-group type: No. 123
DOS(E_F): 7.6 states/eV per cell
Formation energy (no corrections): 1556 meV per atom
Excess energy over the best structure of this formula in the dataset: 1374 meV per atom

---

3.
A plane-wave DFT calculation with PBE was carried out for a geometry-optimized VTeIrI2 structure.

Lattice parameters (Å, degrees): 5.111 5.111 5.278 90.00 90.00 90.00
Atoms (fractional coordinates):
V 0.000 0.000 0.000
Te 0.000 0.000 0.500
Ir 0.500 0.500 0.500
I 0.000 0.500 0.000
I 0.500 0.000 0.000

Space-group type: No. 123
DOS(E_F): 10.0 states/eV per cell
Formation energy (no corrections): 1225 meV per atom
Excess energy over the best structure of this formula in the dataset: 390 meV per atom

---

4.
A plane-wave DFT calculation with PBE was carried out for a geometry-optimized VTe2IrI structure.

Lattice parameters (Å, degrees): 5.091 5.091 5.087 90.00 90.00 90.00
Atoms (fractional coordinates):
V 0.000 0.000 0.000
Te 0.000 0.500 0.000
Te 0.500 0.000 0.000
Ir 0.500 0.500 0.500
I 0.000 0.000 0.500

Space-group type: No. 123
DOS(E_F): 7.7 states/eV per cell
Formation energy (no corrections): 1130 meV per atom
Excess energy over the best structure of this formula in the dataset: 62 meV per atom

---

5.
A plane-wave DFT calculation with PBE was carried out for a geometry-optimized VTe2IrI structure.

Lattice parameters (Å, degrees): 5.250 5.250 5.334 90.00 90.00 90.00
Atoms (fractional coordinates):
V 0.000 0.000 0.000
Te 0.000 0.500 0.500
Te 0.500 0.000 0.500
Ir 0.500 0.500 0.500
I 0.500 0.500 0.000

Space-group type: No. 123
DOS(E_F): 9.3 states/eV per cell
Formation energy (no corrections): 1068 meV per atom
Excess energy over the best structure of this formula in the dataset: 0 meV per atom

---

6.
A plane-wave DFT calculation with PBE was carried out for a geometry-optimized VTeIrI2 structure.

Lattice parameters (Å, degrees): 5.500 5.500 5.139 90.00 90.00 90.00
Atoms (fractional coordinates):
V 0.000 0.000 0.000
Te 0.500 0.500 0.000
Ir 0.500 0.500 0.500
I 0.000 0.500 0.500
I 0.500 0.000 0.500

Space-group type: No. 123
DOS(E_F): 9.2 states/eV per cell
Formation energy (no corrections): 834 meV per atom
Excess energy over the best structure of this formula in the dataset: 0 meV per atom